The following is a GGA-PBEsol calculation of crystalline CdBiC2 at its relaxed geometry, from Alexandria.

a = 5.262 Å, b = 5.262 Å, c = 10.271 Å
α = 90.00°, β = 90.00°, γ = 90.00°
Space group I-42d (No. 122)
Unique sites:
Cd 0.000 0.000 0.000 [4 per cell]
Bi 0.000 0.000 0.500 [4 per cell]
C 0.247 0.250 0.125 [8 per cell]

Crystal system: tetragonal
Energy relative to the elements, eV per atom: 1.620

The following is a GGA-PBEsol calculation of crystalline Zr2GeIF at its relaxed geometry, from Alexandria.

a = 4.442 Å, b = 4.442 Å, c = 5.136 Å
α = 90.00°, β = 90.00°, γ = 90.00°
Space group P4/mmm (No. 123)
Unique sites:
Zr 0.000 0.500 0.000 [2 per cell]
Ge 0.000 0.000 0.500 [1 per cell]
I 0.500 0.500 0.500 [1 per cell]
F 0.500 0.500 0.000 [1 per cell]

ΔE_f (raw), kJ per mole of atoms: -35.4
Crystal system: tetragonal

The following is a GGA-PBEsol calculation of crystalline MnCoCl at its relaxed geometry, from Alexandria.

a = 5.527 Å, b = 5.527 Å, c = 5.527 Å
α = 90.00°, β = 90.00°, γ = 90.00°
Space group F-43m (No. 216)
Unique sites:
Mn 0.000 0.000 0.000 [4 per cell]
Co 0.000 0.000 0.500 [4 per cell]
Cl 0.250 0.250 0.250 [4 per cell]

ΔE_f (raw), kJ per mole of atoms: 80.6
Crystal system: cubic

The following is a GGA-PBEsol calculation of crystalline Sc2CCl2 at its relaxed geometry, from Alexandria.

a = 3.4035 Å, b = 3.4035 Å, c = 9.2591 Å
α = 90.00°, β = 90.00°, γ = 120.00°
Space group P-3m1 (No. 164)
Unique sites:
Sc 0.3333 0.6667 0.3678 [2 per cell]
C 0.0000 0.0000 0.5000 [1 per cell]
Cl 0.3333 0.6667 0.8109 [2 per cell]

ΔE_f (raw), kJ per mole of atoms: -153.6
Crystal system: trigonal

The following is a GGA-PBEsol calculation of crystalline Na5Sm4Si4O16F at its relaxed geometry, from Alexandria.

a = 11.739 Å, b = 11.739 Å, c = 5.452 Å
α = 90.00°, β = 90.00°, γ = 90.00°
Space group I-4 (No. 82)
Unique sites:
Na 0.000 0.000 0.000 [2 per cell]
Na 0.089 0.395 0.487 [8 per cell]
Sm 0.116 0.817 0.476 [8 per cell]
Si 0.103 0.248 0.990 [8 per cell]
O 0.034 0.211 0.740 [8 per cell]
O 0.048 0.184 0.229 [8 per cell]
O 0.108 0.386 0.024 [8 per cell]
O 0.203 0.766 0.064 [8 per cell]
F 0.000 0.000 0.500 [2 per cell]

ΔE_f (raw), kJ per mole of atoms: -283.7
Crystal system: tetragonal

The following is a GGA-PBEsol calculation of crystalline BaZn2B2O6 at its relaxed geometry, from Alexandria.

a = 4.921 Å, b = 9.293 Å, c = 12.116 Å
α = 90.00°, β = 90.00°, γ = 90.00°
Space group P2_12_12_1 (No. 19)
Unique sites:
Ba 0.030 0.105 0.271 [4 per cell]
Zn 0.047 0.341 0.032 [4 per cell]
Zn 0.048 0.130 0.605 [4 per cell]
B 0.029 0.165 0.833 [4 per cell]
B 0.059 0.411 0.508 [4 per cell]
O 0.039 0.834 0.904 [4 per cell]
O 0.087 0.941 0.085 [4 per cell]
O 0.104 0.592 0.749 [4 per cell]
O 0.123 0.749 0.593 [4 per cell]
O 0.168 0.540 0.014 [4 per cell]
O 0.192 0.834 0.341 [4 per cell]

ΔE_f (raw), kJ per mole of atoms: -215.0
Crystal system: orthorhombic

The following is a GGA-PBEsol calculation of crystalline LiVOF3 at its relaxed geometry, from Alexandria.

a = 5.014 Å, b = 5.666 Å, c = 5.677 Å
α = 60.29°, β = 81.36°, γ = 90.00°
Space group P1 (No. 1)
Unique sites:
Li 0.000 0.000 0.000 [1 per cell]
Li 0.187 0.420 0.156 [1 per cell]
V 0.093 0.692 0.579 [1 per cell]
V 0.593 0.410 0.579 [1 per cell]
O 0.254 0.380 0.771 [1 per cell]
O 0.932 0.571 0.387 [1 per cell]
F 0.031 0.054 0.318 [1 per cell]
F 0.155 0.794 0.840 [1 per cell]
F 0.450 0.775 0.363 [1 per cell]
F 0.485 0.317 0.344 [1 per cell]
F 0.700 0.084 0.815 [1 per cell]
F 0.735 0.562 0.794 [1 per cell]

ΔE_f (raw), kJ per mole of atoms: -262.6
Crystal system: triclinic
Distance to the lowest polymorph of the same formula, eV/atom: 0.1054

The following is a GGA-PBEsol calculation of crystalline SrAl2TlH at its relaxed geometry, from Alexandria.

a = 4.463 Å, b = 4.463 Å, c = 5.087 Å
α = 90.00°, β = 90.00°, γ = 90.00°
Space group P4/mmm (No. 123)
Unique sites:
Sr 0.000 0.000 0.000 [1 per cell]
Al 0.000 0.500 0.500 [2 per cell]
Tl 0.500 0.500 0.000 [1 per cell]
H 0.500 0.500 0.500 [1 per cell]

Crystal system: tetragonal
Raw total energy, eV per cell: -15.33